[1]
# PBE Rb3CO4, relaxed
# formation energy without anion corrections = -10.26 eV/f.u.
data_Rb3CO4
_chemical_formula_sum 'Rb6 C2 O8'
_symmetry_space_group_name_H-M 'P m n 21'
_symmetry_Int_Tables_number 31
_cell_length_a 8.0122
_cell_length_b 6.5219
_cell_length_c 6.0563
_cell_angle_alpha 90.00
_cell_angle_beta 90.00
_cell_angle_gamma 90.00
loop_
_symmetry_equiv_pos_as_xyz
'x,y,z'
'-x+1/2,-y,z+1/2'
'-x,y,z'
'x+1/2,-y,z+1/2'
loop_
_atom_site_label
_atom_site_fract_x
_atom_site_fract_y
_atom_site_fract_z
Rb1 0.0000 0.0596 0.0000
Rb2 0.2234 0.3500 0.5174
C1 0.0000 0.8130 0.5019
O1 0.0000 0.0270 0.4722
O2 0.0000 0.7046 0.3010
O3 0.1438 0.7632 0.6235

[2]
# PBE PmCuIO2, relaxed
# formation energy without anion corrections = -8.58 eV/f.u.
data_PmCuIO2
_chemical_formula_sum 'Pm2 Cu2 I2 O4'
_symmetry_space_group_name_H-M 'P 1 21/m 1'
_symmetry_Int_Tables_number 11
_cell_length_a 6.2176
_cell_length_b 3.7388
_cell_length_c 9.9163
_cell_angle_alpha 90.00
_cell_angle_beta 92.93
_cell_angle_gamma 90.00
loop_
_symmetry_equiv_pos_as_xyz
'x,y,z'
'-x,-y,-z'
'-x,y+1/2,-z'
'x,-y+1/2,z'
loop_
_atom_site_label
_atom_site_fract_x
_atom_site_fract_y
_atom_site_fract_z
Pm1 0.1276 0.2500 0.1441
Cu1 0.3702 0.2500 0.8214
I1 0.2417 0.7500 0.6237
O1 0.1140 0.2500 0.9142
O2 0.3353 0.7500 0.1836

[3]
# PBE Dy6C2SCl3, relaxed
# formation energy without anion corrections = -15.43 eV/f.u.
data_Dy6C2SCl3
_chemical_formula_sum 'Dy12 C4 S2 Cl6'
_symmetry_space_group_name_H-M 'C 1 2/m 1'
_symmetry_Int_Tables_number 12
_cell_length_a 6.4954
_cell_length_b 11.2560
_cell_length_c 7.0876
_cell_angle_alpha 90.00
_cell_angle_beta 107.78
_cell_angle_gamma 90.00
loop_
_symmetry_equiv_pos_as_xyz
'x,y,z'
'-x,-y,-z'
'-x,y,-z'
'x,-y,z'
'x+1/2,y+1/2,z'
'-x+1/2,-y+1/2,-z'
'-x+1/2,y+1/2,-z'
'x+1/2,-y+1/2,z'
loop_
_atom_site_label
_atom_site_fract_x
_atom_site_fract_y
_atom_site_fract_z
Dy1 0.2083 0.0000 0.1917
Dy2 0.2416 0.3221 0.1914
C1 0.0000 0.1665 0.0000
S1 0.0000 0.5000 0.0000
Cl1 0.0000 0.0000 0.5000
Cl2 0.0000 0.3333 0.5000

[4]
# PBE TmPuGa2Au5, relaxed
# formation energy from the elements = -374 meV per atom
data_TmPuGa2Au5
_chemical_formula_sum 'Tm1 Pu1 Ga2 Au5'
_symmetry_space_group_name_H-M 'P 4/m m m'
_symmetry_Int_Tables_number 123
_symmetry_space_group_name_Hall '-P 4 2'
_cell_length_a 4.7318
_cell_length_b 4.7318
_cell_length_c 8.4169
_cell_angle_alpha 90.00
_cell_angle_beta 90.00
_cell_angle_gamma 90.00
loop_
_atom_site_label
_atom_site_fract_x
_atom_site_fract_y
_atom_site_fract_z
Tm1 0.0000 0.0000 0.0000
Pu1 0.0000 0.0000 0.5000
Ga1 0.5000 0.5000 0.1453
Au1 0.0000 0.5000 0.2597
Au2 0.5000 0.5000 0.5000

[5]
# PBE CaCrW2, relaxed
# formation energy from the elements = 758 meV per atom
data_CaCrW2
_chemical_formula_sum 'Ca2 Cr2 W4'
_symmetry_space_group_name_H-M 'I m m m'
_symmetry_Int_Tables_number 71
_symmetry_space_group_name_Hall '-I 2 2'
_cell_length_a 3.0665
_cell_length_b 4.6862
_cell_length_c 9.6179
_cell_angle_alpha 90.00
_cell_angle_beta 90.00
_cell_angle_gamma 90.00
loop_
_atom_site_label
_atom_site_fract_x
_atom_site_fract_y
_atom_site_fract_z
Ca1 0.0000 0.0000 0.0000
Cr1 0.0000 0.0000 0.5000
W1 0.0000 0.5000 0.2276

[6]
# PBE BeRe2P, relaxed
# formation energy from the elements = -274 meV per atom
data_BeRe2P
_chemical_formula_sum 'Be1 Re2 P1'
_symmetry_space_group_name_H-M 'P 4 m m'
_symmetry_Int_Tables_number 99
_cell_length_a 2.9739
_cell_length_b 2.9739
_cell_length_c 5.5528
_cell_angle_alpha 90.00
_cell_angle_beta 90.00
_cell_angle_gamma 90.00
loop_
_symmetry_equiv_pos_as_xyz
'x,y,z'
'-y,x,z'
'-x,-y,z'
'y,-x,z'
'-x,y,z'
'y,x,z'
'x,-y,z'
'-y,-x,z'
loop_
_atom_site_label
_atom_site_fract_x
_atom_site_fract_y
_atom_site_fract_z
Be1 0.0000 0.0000 0.0000
Re1 0.0000 0.0000 0.4554
Re2 0.5000 0.5000 0.7809
P1 0.5000 0.5000 0.2159

[7]
# PBE Pr7Pd3, relaxed
# formation energy from the elements = -478 meV per atom
data_Pr7Pd3
_chemical_formula_sum 'Pr14 Pd6'
_symmetry_space_group_name_H-M 'P 63 m c'
_symmetry_Int_Tables_number 186
_symmetry_space_group_name_Hall 'P 6c -2c'
_cell_length_a 10.2999
_cell_length_b 10.2999
_cell_length_c 6.5197
_cell_angle_alpha 90.00
_cell_angle_beta 90.00
_cell_angle_gamma 120.00
loop_
_atom_site_label
_atom_site_fract_x
_atom_site_fract_y
_atom_site_fract_z
Pr1 0.0759 0.5380 0.0000
Pr2 0.1254 0.2507 0.2940
Pr3 0.3333 0.6667 0.5018
Pd1 0.1893 0.3786 0.7443

[8]
# PBE Tm3InPd4, relaxed
# formation energy from the elements = -879 meV per atom
data_Tm3InPd4
_chemical_formula_sum 'Tm3 In1 Pd4'
_symmetry_space_group_name_H-M 'P 4/m m m'
_symmetry_Int_Tables_number 123
_symmetry_space_group_name_Hall '-P 4 2'
_cell_length_a 4.8375
_cell_length_b 4.8375
_cell_length_c 6.8362
_cell_angle_alpha 90.00
_cell_angle_beta 90.00
_cell_angle_gamma 90.00
loop_
_atom_site_label
_atom_site_fract_x
_atom_site_fract_y
_atom_site_fract_z
Tm1 0.0000 0.0000 0.0000
Tm2 0.0000 0.0000 0.5000
Tm3 0.5000 0.5000 0.0000
In1 0.5000 0.5000 0.5000
Pd1 0.0000 0.5000 0.2460

[9]
# PBE Li2SbO, relaxed
# formation energy without anion corrections = -0.67 eV/f.u.
data_Li2SbO
_chemical_formula_sum 'Li8 Sb4 O4'
_symmetry_space_group_name_H-M 'F m -3 m'
_symmetry_Int_Tables_number 225
_symmetry_space_group_name_Hall '-F 4 2 3'
_cell_length_a 6.2756
_cell_length_b 6.2756
_cell_length_c 6.2756
_cell_angle_alpha 90.00
_cell_angle_beta 90.00
_cell_angle_gamma 90.00
loop_
_atom_site_label
_atom_site_fract_x
_atom_site_fract_y
_atom_site_fract_z
Li1 0.2500 0.2500 0.2500
Sb1 0.0000 0.0000 0.0000
O1 0.0000 0.0000 0.5000

[10]
# PBE SrCa3Cr, relaxed
# formation energy from the elements = 668 meV per atom
data_SrCa3Cr
_chemical_formula_sum 'Sr1 Ca3 Cr1'
_symmetry_space_group_name_H-M 'P m -3 m'
_symmetry_Int_Tables_number 221
_symmetry_space_group_name_Hall '-P 4 2 3'
_cell_length_a 5.6925
_cell_length_b 5.6925
_cell_length_c 5.6925
_cell_angle_alpha 90.00
_cell_angle_beta 90.00
_cell_angle_gamma 90.00
loop_
_atom_site_label
_atom_site_fract_x
_atom_site_fract_y
_atom_site_fract_z
Sr1 0.0000 0.0000 0.0000
Ca1 0.0000 0.5000 0.5000
Cr1 0.5000 0.5000 0.5000

[11]
# PBE BaNi2RuC, relaxed
# formation energy from the elements = 691 meV per atom
data_BaNi2RuC
_chemical_formula_sum 'Ba1 Ni2 Ru1 C1'
_symmetry_space_group_name_H-M 'P 4/m m m'
_symmetry_Int_Tables_number 123
_symmetry_space_group_name_Hall '-P 4 2'
_cell_length_a 4.7746
_cell_length_b 4.7746
_cell_length_c 3.9697
_cell_angle_alpha 90.00
_cell_angle_beta 90.00
_cell_angle_gamma 90.00
loop_
_atom_site_label
_atom_site_fract_x
_atom_site_fract_y
_atom_site_fract_z
Ba1 0.0000 0.0000 0.0000
Ni1 0.0000 0.5000 0.5000
Ru1 0.5000 0.5000 0.5000
C1 0.5000 0.5000 0.0000

[12]
# PBE Tb2NbI, relaxed
# formation energy without anion corrections = 1.55 eV/f.u.
data_Tb2NbI
_chemical_formula_sum 'Tb6 Nb3 I3'
_symmetry_space_group_name_H-M 'R -3 m'
_symmetry_Int_Tables_number 166
_symmetry_space_group_name_Hall '-R 3 2"'
_cell_length_a 3.4573
_cell_length_b 3.4573
_cell_length_c 32.5483
_cell_angle_alpha 90.00
_cell_angle_beta 90.00
_cell_angle_gamma 120.00
loop_
_atom_site_label
_atom_site_fract_x
_atom_site_fract_y
_atom_site_fract_z
Tb1 0.0000 0.0000 0.0888
Nb1 0.0000 0.0000 0.0000
I1 0.0000 0.0000 0.5000